Run a
A plane-wave DFT calculation with PBE was carried out for Sm2AgHg6 after structural relaxation.

Cell: 9.3546 9.3546 4.9604 Å, 90.00 90.00 90.00°
Last column: nearest neighbours and their distance in Å.
Fractional positions:
Sm 0.1998 0.1998 0.0000  10 Hg 3.16-3.31
Sm 0.3002 0.6998 0.5000  10 Hg 3.16-3.31
Sm 0.6998 0.3002 0.5000  10 Hg 3.16-3.31
Sm 0.8002 0.8002 0.0000  10 Hg 3.16-3.31
Ag 0.0000 0.0000 0.5000  8 Hg 3.05-3.17
Ag 0.5000 0.5000 0.0000  8 Hg 3.05-3.17
Hg 0.0360 0.3375 0.5000  6 Hg 3.09-3.32, 3 Sm 3.16-3.19, 1 Ag 3.17
Hg 0.1347 0.8653 0.0000  2 Ag 3.05, 2 Hg 3.09, 4 Sm 3.19-3.31
Hg 0.1625 0.5360 0.0000  6 Hg 3.09-3.32, 3 Sm 3.16-3.19, 1 Ag 3.17
Hg 0.3375 0.0360 0.5000  6 Hg 3.09-3.32, 3 Sm 3.16-3.19, 1 Ag 3.17
Hg 0.3653 0.3653 0.5000  2 Ag 3.05, 2 Hg 3.09, 4 Sm 3.19-3.31
Hg 0.4640 0.8375 0.0000  6 Hg 3.09-3.32, 3 Sm 3.16-3.19, 1 Ag 3.17
Hg 0.5360 0.1625 0.0000  6 Hg 3.09-3.32, 3 Sm 3.16-3.19, 1 Ag 3.17
Hg 0.6347 0.6347 0.5000  2 Ag 3.05, 2 Hg 3.09, 4 Sm 3.19-3.31
Hg 0.6625 0.9640 0.5000  6 Hg 3.09-3.32, 3 Sm 3.16-3.19, 1 Ag 3.17
Hg 0.8375 0.4640 0.0000  6 Hg 3.09-3.32, 3 Sm 3.16-3.19, 1 Ag 3.17
Hg 0.8653 0.1347 0.0000  2 Ag 3.05, 2 Hg 3.09, 4 Sm 3.19-3.31
Hg 0.9640 0.6625 0.5000  6 Hg 3.09-3.32, 3 Sm 3.16-3.19, 1 Ag 3.17

Summary:
The calculated volume is 24.12 Å³ per atom. The value obtained for the density of states at the Fermi level is 0.2841 states/eV per atom. The magnetic moment comes out at 0.0 μB per cell.



Run b
A plane-wave DFT calculation with PBE was carried out for Sm2AgHg6 after structural relaxation.

Cell: 7.0138 7.0138 5.6425 Å, 111.75 111.75 70.74°
Last column: nearest neighbours and their distance in Å.
Fractional positions:
Sm 0.1829 0.1829 0.2777  8 Hg 3.12-3.33, 1 Ag 3.26
Sm 0.8171 0.8171 0.7223  8 Hg 3.12-3.33, 1 Ag 3.26
Ag 0.5000 0.5000 0.5000  8 Hg 2.99-3.17, 2 Sm 3.26
Hg 0.0400 0.6667 0.2772  4 Hg 2.98-3.15, 1 Ag 2.99, 3 Sm 3.12-3.33
Hg 0.3224 0.6776 0.0000  3 Hg 2.88-2.98, 2 Ag 3.17
Hg 0.3333 0.9600 0.7228  4 Hg 2.98-3.15, 1 Ag 2.99, 3 Sm 3.12-3.33
Hg 0.6667 0.0400 0.2772  4 Hg 2.98-3.15, 1 Ag 2.99, 3 Sm 3.12-3.33
Hg 0.6776 0.3224 0.0000  3 Hg 2.88-2.98, 2 Ag 3.17
Hg 0.9600 0.3333 0.7228  4 Hg 2.98-3.15, 1 Ag 2.99, 3 Sm 3.12-3.33

Summary:
The calculated volume is 25.94 Å³ per atom. The value obtained for the density of states at the Fermi level is 0.6090 states/eV per atom. The magnetic moment comes out at 0.0 μB per cell.



Result of the stability comparison: run a is the most stable of them.



Run a
A plane-wave DFT calculation with PBE was carried out for Sm4Ag2Hg after structural relaxation.

Cell: 10.0245 10.0245 10.0245 Å, 29.19 29.19 29.19°
Last column: nearest neighbours and their distance in Å.
Fractional positions:
Sm 0.1216 0.1216 0.1216  3 Hg 3.19, 3 Ag 3.31
Sm 0.2949 0.2949 0.2949  4 Ag 3.03
Sm 0.7051 0.7051 0.7051  4 Ag 3.03
Sm 0.8784 0.8784 0.8784  3 Hg 3.19, 3 Ag 3.31
Ag 0.4003 0.4003 0.4003  1 Hg 2.87, 4 Sm 3.03
Ag 0.5997 0.5997 0.5997  1 Hg 2.87, 4 Sm 3.03
Hg 0.5000 0.5000 0.5000  2 Ag 2.87, 6 Sm 3.19

Summary:
The calculated volume is 30.28 Å³ per atom. The value obtained for the density of states at the Fermi level is 1.5029 states/eV per atom. The magnetic moment comes out at 0.0 μB per cell.



Run b
A plane-wave DFT calculation with PBE was carried out for Sm4Ag2Hg after structural relaxation.

Cell: 6.4202 6.4202 5.1462 Å, 90.00 90.00 108.66°
Last column: nearest neighbours and their distance in Å.
Fractional positions:
Sm 0.0000 0.5000 0.5000  4 Ag 3.18, 2 Hg 3.21
Sm 0.2383 0.2383 0.0000  4 Ag 3.19-3.23, 2 Hg 3.23, 1 Sm 3.57
Sm 0.5000 0.0000 0.5000  4 Ag 3.18, 2 Hg 3.21
Sm 0.7617 0.7617 0.0000  4 Ag 3.19-3.23, 2 Hg 3.23, 1 Sm 3.57
Ag 0.2535 0.7465 0.0000  8 Sm 3.18-3.23
Ag 0.7465 0.2535 0.0000  8 Sm 3.18-3.23
Hg 0.5000 0.5000 0.5000  8 Sm 3.21-3.23

Summary:
The calculated volume is 28.71 Å³ per atom. The value obtained for the density of states at the Fermi level is 1.1523 states/eV per atom. The magnetic moment comes out at 0.0 μB per cell.



Result of the stability comparison: run b is the most stable of them.



Run a
A plane-wave DFT calculation with PBE was carried out for AgSn2Hg2 after structural relaxation.

Cell: 8.3076 8.3076 8.3076 Å, 150.76 150.76 41.82°
Last column: nearest neighbours and their distance in Å.
Fractional positions:
Ag 0.0000 0.0000 0.0000  8 Hg 3.28
Sn 0.2500 0.7500 0.5000  4 Sn 2.97, 4 Hg 3.24
Sn 0.7500 0.2500 0.5000  4 Sn 2.97, 4 Hg 3.24
Hg 0.4093 0.4093 0.0000  1 Hg 2.81
Hg 0.5907 0.5907 0.0000  1 Hg 2.81

Summary:
The calculated volume is 27.29 Å³ per atom. The value obtained for the density of states at the Fermi level is 0.4431 states/eV per atom. The magnetic moment comes out at 0.0 μB per cell.



Run b
A plane-wave DFT calculation with PBE was carried out for AgSn2Hg2 after structural relaxation.

Cell: 8.5916 8.5916 8.5916 Å, 152.60 152.60 39.14°
Last column: nearest neighbours and their distance in Å.
Fractional positions:
Ag 0.0000 0.0000 0.0000  8 Sn 3.25
Sn 0.4064 0.4064 0.0000  1 Sn 3.03, 4 Hg 3.25, 4 Ag 3.25
Sn 0.5936 0.5936 0.0000  1 Sn 3.03, 4 Hg 3.25, 4 Ag 3.25
Hg 0.2500 0.7500 0.5000  4 Hg 2.88
Hg 0.7500 0.2500 0.5000  4 Hg 2.88

Summary:
The calculated volume is 26.82 Å³ per atom. The value obtained for the density of states at the Fermi level is 0.4925 states/eV per atom. The magnetic moment comes out at 0.0 μB per cell.



Result of the stability comparison: run b is the most stable of them.



Run a
A plane-wave DFT calculation with PBE was carried out for AgSn2Hg2 after structural relaxation.

Cell: 7.3629 7.3629 4.8506 Å, 90.00 90.00 90.00°
Last column: nearest neighbours and their distance in Å.
Fractional positions:
Ag 0.0000 0.0000 0.0000  4 Sn 2.81
Ag 0.5000 0.5000 0.0000  4 Sn 2.81
Sn 0.1474 0.3526 0.0000  2 Ag 2.81, 1 Sn 3.07, 2 Hg 3.09
Sn 0.3526 0.8526 0.0000  2 Ag 2.81, 1 Sn 3.07, 2 Hg 3.09
Sn 0.6474 0.1474 0.0000  2 Ag 2.81, 1 Sn 3.07, 2 Hg 3.09
Sn 0.8526 0.6474 0.0000  2 Ag 2.81, 1 Sn 3.07, 2 Hg 3.09
Hg 0.1695 0.6695 0.5000  6 Sn 3.09-3.37
Hg 0.3305 0.1695 0.5000  6 Sn 3.09-3.37
Hg 0.6695 0.8305 0.5000  6 Sn 3.09-3.37
Hg 0.8305 0.3305 0.5000  6 Sn 3.09-3.37

Summary:
The calculated volume is 26.30 Å³ per atom. The value obtained for the density of states at the Fermi level is 0.4251 states/eV per atom. The magnetic moment comes out at 0.0 μB per cell.



Run b
A plane-wave DFT calculation with PBE was carried out for AgSn2Hg2 after structural relaxation.

Cell: 7.5095 7.5095 4.4933 Å, 90.00 90.00 90.00°
Last column: nearest neighbours and their distance in Å.
Fractional positions:
Ag 0.0000 0.0000 0.0000  4 Hg 2.88
Ag 0.5000 0.5000 0.0000  4 Hg 2.88
Sn 0.1637 0.3363 0.5000  6 Hg 3.03-3.23
Sn 0.3363 0.8363 0.5000  6 Hg 3.03-3.23
Sn 0.6637 0.1637 0.5000  6 Hg 3.03-3.23
Sn 0.8363 0.6637 0.5000  6 Hg 3.03-3.23
Hg 0.1450 0.6450 0.0000  2 Ag 2.88, 2 Sn 3.03, 1 Hg 3.08
Hg 0.3550 0.1450 0.0000  2 Ag 2.88, 2 Sn 3.03, 1 Hg 3.08
Hg 0.6450 0.8550 0.0000  2 Ag 2.88, 2 Sn 3.03, 1 Hg 3.08
Hg 0.8550 0.3550 0.0000  2 Ag 2.88, 2 Sn 3.03, 1 Hg 3.08

Summary:
The calculated volume is 25.34 Å³ per atom. The value obtained for the density of states at the Fermi level is 0.5377 states/eV per atom. The magnetic moment comes out at 0.0 μB per cell.



Result of the stability comparison: run a is the most stable of them.